VASP calculation (PBE) on an optimized crystal structure of CoMo2As.

The total moment is 0.00 μB per formula unit. The calculation puts the density of states at the Fermi level at 6.75 states/eV/cell. The calculation puts the calculated total energy at -66.10 eV per cell.

It has space group Immm (No. 71), with a = 3.486 Å, b = 3.981 Å, c = 8.152 Å, α = 90.00°, β = 90.00° and γ = 90.00°. Symmetry generates all atoms from Co at (0.000, 0.000, 0.000), Mo at (0.000, 0.500, 0.247) and As at (0.000, 0.000, 0.500).